DFT (PBE) results for an optimized crystal structure of NaHfAg2B. Values from VASP.

The structure in Quantum ESPRESSO input format:
```
&SYSTEM
  ibrav = 0, nat = 5, ntyp = 4
/
ATOMIC_SPECIES
Na 22.99 Na.upf
B 10.81 B.upf
Hf 178.49 Hf.upf
Ag 107.87 Ag.upf
CELL_PARAMETERS angstrom
5.237 0.000 0.000
0.000 6.034 0.000
0.000 0.000 5.237
ATOMIC_POSITIONS angstrom
Na 0.000 3.017 0.000
B 2.618 3.017 2.618
Hf 0.000 0.000 0.000
Ag 0.000 0.000 2.618
Ag 2.618 0.000 0.000
```

Summary:
Space-group type   P4/mmm, No. 123
Energy of formation from the pure elements   10.46 eV/f.u.
DOS(E_F)   1.148 states/eV/atom
Raw total energy   -2.64 eV/atom
Crystal system   tetragonal